VAgBiO4: relaxed, PBE+U.

The value obtained for the total DFT energy (no corrections) is -6.096 eV per atom.

a = 5.5664 Å, b = 5.6873 Å, c = 7.4382 Å
α = 90.00°, β = 115.74°, γ = 90.00°
Last column: nearest neighbours and their distance in Å.
Fractional coordinates of all 14 atoms:
V  0.3491  0.7500  0.3386  4 O 1.76-1.93
V  0.6509  0.2500  0.6614  4 O 1.76-1.93
Ag  0.9754  0.7500  0.5546  4 O 2.32-2.53
Ag  0.0246  0.2500  0.4454  4 O 2.32-2.53
Bi  0.7546  0.7500  0.9532  5 O 2.26-2.52
Bi  0.2454  0.2500  0.0468  5 O 2.26-2.52
O  0.9141  0.4849  0.8051  1 V 1.93
O  0.0859  0.9849  0.1949  1 V 1.93
O  0.0859  0.5151  0.1949  1 V 1.93
O  0.9141  0.0151  0.8051  1 V 1.93
O  0.5862  0.7500  0.2415  1 V 1.76
O  0.4138  0.2500  0.7585  1 V 1.76
O  0.4120  0.7500  0.5938  1 V 1.77
O  0.5880  0.2500  0.4062  1 V 1.77